Arrangement a

The following is a DFT calculation (PBE) of Ce2N2Cl after structural relaxation.

Geometry as POSCAR:
```
Ce2N2Cl
1.0
-1.865 -3.608 -0.182
3.491 -1.794 -1.063
1.065 0.105 6.689
Ce N Cl
2 2 1
Cartesian
1.533 -3.854 1.381 Ce
1.157 -1.444 4.062 Ce
2.686 -2.194 2.501 N
0.004 -3.103 2.942 N
0.000 0.000 0.000 Cl
```

## Properties
space-group type = No. 12
N(E_F) = 8.8 states/eV/f.u.


Arrangement b

The following is a DFT calculation (PBE) of Ce2N2Cl after structural relaxation.

Geometry as POSCAR:
```
Ce2N2Cl
1.0
3.942 0.000 0.000
-1.971 3.414 0.000
0.000 0.000 7.197
Ce N Cl
2 2 1
Cartesian
1.971 1.138 4.982 Ce
0.000 2.276 2.215 Ce
1.971 1.138 2.681 N
0.000 2.276 4.517 N
0.000 0.000 0.000 Cl
```

## Properties
space-group type = No. 164
N(E_F) = 7.3 states/eV/f.u.


Q: Which of them is the least stable? A: arrangement a.


Arrangement a

The following is a DFT calculation (PBE) of NaCe2Cl6 after structural relaxation.

Geometry as POSCAR:
```
NaCe2Cl6
1.0
6.703 0.000 0.000
0.000 6.703 0.000
0.000 0.000 12.709
Na Ce Cl
2 4 12
Cartesian
3.352 3.352 0.000 Na
0.000 0.000 6.355 Na
3.352 3.352 4.316 Ce
3.352 3.352 8.393 Ce
0.000 0.000 2.038 Ce
0.000 0.000 10.671 Ce
4.683 4.683 2.151 Cl
4.683 4.683 10.558 Cl
4.725 4.725 6.355 Cl
5.330 1.373 0.000 Cl
5.372 1.331 4.203 Cl
5.372 1.331 8.506 Cl
1.331 5.372 4.203 Cl
1.331 5.372 8.506 Cl
1.373 5.330 0.000 Cl
1.979 1.979 6.355 Cl
2.020 2.020 2.151 Cl
2.020 2.020 10.558 Cl
```

## Properties
space-group type = No. 136
N(E_F) = 15.2 states/eV/f.u.


Arrangement b

The following is a DFT calculation (PBE) of NaCe2Cl6 after structural relaxation.

Geometry as POSCAR:
```
NaCe2Cl6
1.0
-7.180 0.396 -2.982
-8.570 2.226 5.961
-5.946 8.849 0.521
Na Ce Cl
2 4 12
Cartesian
-8.671 6.601 1.704 Na
-13.025 4.870 1.797 Na
-17.171 8.570 2.243 Ce
-8.147 3.017 -0.166 Ce
-4.525 2.901 1.258 Ce
-13.549 8.454 3.666 Ce
-11.244 6.880 2.993 Cl
-6.876 4.357 2.028 Cl
-10.452 4.591 0.508 Cl
-14.820 7.114 1.472 Cl
-17.632 5.686 3.077 Cl
-9.310 1.804 2.365 Cl
-4.064 5.785 0.424 Cl
-12.386 9.667 1.136 Cl
-12.846 2.080 0.954 Cl
-14.081 5.447 4.457 Cl
-8.850 9.390 2.546 Cl
-7.615 6.024 -0.957 Cl
```

## Properties
space-group type = No. 15
N(E_F) = 10.5 states/eV/f.u.


Q: Which of them is the least stable? A: arrangement a.


Arrangement a

The following is a DFT calculation (PBE) of NaCe2Cl8 after structural relaxation.

Geometry as POSCAR:
```
NaCe2Cl8
1.0
0.422 -1.556 -3.687
3.835 -6.445 3.159
-8.537 -4.279 3.025
Na Ce Cl
1 2 8
Cartesian
0.211 -0.778 -1.844 Na
-0.018 -5.949 2.509 Ce
-4.262 -6.331 -0.012 Ce
0.324 -5.023 -0.039 Cl
-5.592 -4.051 1.070 Cl
-2.580 -4.590 1.642 Cl
2.567 -5.198 2.488 Cl
-1.700 -7.690 0.855 Cl
1.312 -8.230 1.427 Cl
-4.604 -7.257 2.536 Cl
-6.847 -7.082 0.009 Cl
```

## Properties
space-group type = No. 12
N(E_F) = 9.6 states/eV/f.u.


Arrangement b

The following is a DFT calculation (PBE) of NaCe2Cl8 after structural relaxation.

Geometry as POSCAR:
```
NaCe2Cl8
1.0
5.523 0.056 0.043
-0.038 8.874 0.110
-0.038 2.495 8.516
Na Ce Cl
1 2 8
Cartesian
0.000 0.000 0.000 Na
3.961 8.687 6.591 Ce
1.487 2.738 2.078 Ce
1.316 4.969 8.014 Cl
4.131 2.370 6.042 Cl
1.229 8.847 6.713 Cl
4.219 2.578 1.956 Cl
1.316 9.056 2.627 Cl
4.131 6.456 0.655 Cl
4.081 6.692 5.078 Cl
1.366 4.733 3.591 Cl
```

## Properties
space-group type = No. 12
N(E_F) = 9.4 states/eV/f.u.


Q: Which of them is the least stable? A: arrangement b.


Arrangement a

The following is a DFT calculation (PBE) of Ce2NiCl after structural relaxation.

Geometry as POSCAR:
```
Ce2NiCl
1.0
-1.388 1.837 -3.131
-1.763 -2.019 -2.815
-7.701 0.873 1.513
Ce Ni Cl
2 1 1
Cartesian
-6.303 0.677 0.778 Ce
-2.454 0.136 -1.244 Ce
-9.789 0.750 -2.458 Ni
-5.432 0.346 -2.213 Cl
```

## Properties
space-group type = No. 160
N(E_F) = 12.2 states/eV/f.u.


Arrangement b

The following is a DFT calculation (PBE) of Ce2NiCl after structural relaxation.

Geometry as POSCAR:
```
Ce2NiCl
1.0
-0.981 2.143 3.242
2.152 -0.354 3.363
4.635 5.817 0.035
Ni Ce Cl
1 2 1
Cartesian
0.000 0.000 0.000 Ni
1.303 1.719 1.735 Ce
4.503 5.886 4.904 Ce
2.903 3.803 3.320 Cl
```

## Properties
space-group type = No. 166
N(E_F) = 11.8 states/eV/f.u.


Q: Which of them is the least stable? A: arrangement a.


Arrangement a

The following is a DFT calculation (PBE) of Ce2OsCl after structural relaxation.

Geometry as POSCAR:
```
Ce2OsCl
1.0
4.036 0.000 0.000
2.018 3.495 0.000
2.018 1.165 7.369
Ce Os Cl
2 1 1
Cartesian
2.018 1.165 1.511 Ce
6.053 3.495 5.858 Ce
0.000 0.000 0.000 Os
4.036 2.330 3.684 Cl
```

## Properties
space-group type = No. 166
N(E_F) = 9.2 states/eV/f.u.


Arrangement b

The following is a DFT calculation (PBE) of Ce2OsCl after structural relaxation.

Geometry as POSCAR:
```
Ce2OsCl
1.0
-0.961 2.919 1.195
-0.265 -1.319 3.011
7.717 1.919 1.520
Os Ce Cl
1 2 1
Cartesian
-0.613 0.800 2.103 Os
5.971 1.484 1.176 Ce
1.746 0.434 0.344 Ce
3.245 1.759 2.863 Cl
```

## Properties
space-group type = No. 123
N(E_F) = 8.1 states/eV/f.u.


Q: Which of them is the least stable? A: arrangement b.


Arrangement a

The following is a DFT calculation (PBE) of Ce2PbCl after structural relaxation.

Geometry as POSCAR:
```
Ce2PbCl
1.0
-2.224 1.989 -3.332
1.650 -0.088 -4.157
-3.445 -4.971 -3.669
Pb Ce Cl
1 2 1
Cartesian
-2.009 -1.535 -5.579 Pb
-0.903 -0.592 -2.753 Ce
-3.116 -2.477 -8.405 Ce
0.000 0.000 0.000 Cl
```

## Properties
space-group type = No. 166
N(E_F) = 11.4 states/eV/f.u.


Arrangement b

The following is a DFT calculation (PBE) of Ce2PbCl after structural relaxation.

Geometry as POSCAR:
```
Ce2PbCl
1.0
3.599 0.000 0.000
0.000 3.599 0.000
0.000 0.000 8.167
Pb Ce Cl
1 2 1
Cartesian
1.800 1.800 4.083 Pb
0.000 0.000 6.263 Ce
0.000 0.000 1.904 Ce
1.800 1.800 0.000 Cl
```

## Properties
space-group type = No. 123
N(E_F) = 13.4 states/eV/f.u.


Q: Which of them is the least stable? A: arrangement b.